## TaCu2Sb (GGA-PBE)

Data for a geometry-optimized TaCu2Sb structure.

Values from the calculation:
- space-group type = Pm, No. 6
- VASP energy (eV per atom) = -5.8069
- ΔE_f (raw) (eV/atom) = 0.23

```
TaCu2Sb
1.0
2.949 0.000 0.000
0.000 4.246 0.000
-0.009 0.000 5.405
Ta Cu Sb
1 2 1
Cartesian
0.000 0.000 0.000 Ta
1.463 2.123 4.243 Cu
1.468 0.000 3.032 Cu
1.478 2.123 1.471 Sb
```

***

## TaCd2Sb (GGA-PBE)

Data for a geometry-optimized TaCd2Sb structure.

Values from the calculation:
- space-group type = I-4m2, No. 119
- VASP energy (eV per atom) = -4.1533
- ΔE_f (raw) (eV/atom) = 0.30

```
TaCd2Sb
1.0
-2.139 2.139 4.551
2.139 -2.139 4.551
2.139 2.139 -4.551
Ta Cd Sb
1 2 1
Cartesian
0.000 0.000 0.000 Ta
2.139 0.000 2.276 Cd
0.000 0.000 4.551 Cd
0.000 2.139 2.276 Sb
```